Entry 1:
A plane-wave DFT calculation with PBE was carried out for a geometry-optimized Mn2SiAs structure.

a b c (Å): 4.203 4.203 4.203
angles (deg): 60.00 60.00 60.00
Element x y z (fractional)
Mn: 0.000 0.000 0.000
As: 0.500 0.500 0.500
Si: 0.750 0.750 0.750
Mn: 0.250 0.250 0.250

Values from the calculation:
volume = 13.1 Å³/atom
electronic total energy = -6.845 eV/atom
crystal system = cubic
ΔE_f (raw) = 0.258 eV/atom
magnetization = 3.2 μB per formula unit

***

Entry 2:
A plane-wave DFT calculation with PBE was carried out for a geometry-optimized Ce3PmSb2 structure.

a b c (Å): 4.176 10.739 9.479
angles (deg): 124.40 90.00 101.21
Element x y z (fractional)
Pm: 0.101 0.203 0.083
Ce: 0.296 0.591 0.515
Pm: 0.899 0.797 0.917
Ce: 0.633 0.266 0.776
Sb: 0.740 0.480 0.197
Ce: 0.367 0.734 0.224
Ce: 0.070 0.140 0.524
Sb: 0.521 0.043 0.215
Sb: 0.479 0.957 0.785
Sb: 0.260 0.520 0.803
Ce: 0.930 0.860 0.476
Ce: 0.704 0.409 0.485

Values from the calculation:
volume = 28.4 Å³/atom
electronic total energy = -5.795 eV/atom
crystal system = monoclinic
ΔE_f (raw) = -0.662 eV/atom
magnetization = 1.9 μB per formula unit

***

Entry 3:
A plane-wave DFT calculation with PBE was carried out for a geometry-optimized KRb2Ag2F7 structure.

a b c (Å): 4.445 4.445 11.697
angles (deg): 79.05 79.05 89.99
Element x y z (fractional)
F: 0.694 0.695 0.611
F: 0.306 0.305 0.389
F: 0.500 0.500 0.000
F: 0.092 0.593 0.815
Ag: 0.596 0.596 0.808
Ag: 0.404 0.404 0.192
F: 0.908 0.407 0.185
F: 0.592 0.093 0.815
K: 0.000 0.000 0.000
Rb: 0.818 0.817 0.365
Rb: 0.182 0.183 0.635
F: 0.408 0.907 0.185

Values from the calculation:
volume = 18.6 Å³/atom
electronic total energy = -3.823 eV/atom
crystal system = tetragonal
ΔE_f (raw) = -2.004 eV/atom
magnetization = 0.0 μB per formula unit

***

Entry 4:
A plane-wave DFT calculation with PBE was carried out for a geometry-optimized HoThPt2 structure.

a b c (Å): 5.044 5.044 5.044
angles (deg): 60.00 60.00 60.00
Element x y z (fractional)
Th: 0.500 0.500 0.500
Ho: 0.000 0.000 0.000
Pt: 0.750 0.750 0.750
Pt: 0.250 0.250 0.250

Values from the calculation:
volume = 22.7 Å³/atom
electronic total energy = -7.141 eV/atom
crystal system = cubic
energy of formation from the pure elements = -1121.2 meV per atom
magnetization = 0.0 μB per formula unit
offset from the most stable computed form = 10.0 kJ/mol of atoms

***

Entry 5:
A plane-wave DFT calculation with PBE was carried out for a geometry-optimized Na2NdTiSe4 structure.

a b c (Å): 4.035 7.012 7.409
angles (deg): 108.36 90.00 90.00
Element x y z (fractional)
Se: 0.500 0.785 0.784
Nd: 0.500 0.500 0.000
Na: 0.000 0.500 0.500
Se: 0.000 0.230 0.769
Na: 0.500 0.000 0.500
Se: 0.500 0.215 0.216
Ti: 0.000 0.000 0.000
Se: 0.000 0.770 0.231

Values from the calculation:
volume = 24.9 Å³/atom
electronic total energy = -5.017 eV/atom
crystal system = monoclinic
ΔE_f (raw) = -1.362 eV/atom
magnetization = 1.0 μB per formula unit

***

Entry 6:
A plane-wave DFT calculation with PBE was carried out for a geometry-optimized CsZrPd2 structure.

a b c (Å): 7.869 7.869 6.798
angles (deg): 54.64 54.64 90.00
Element x y z (fractional)
Cs: 0.000 0.000 0.000
Zr: 0.250 0.750 0.500
Cs: 0.750 0.250 0.500
Pd: 0.553 0.125 0.250
Zr: 0.500 0.500 0.000
Pd: 0.875 0.803 0.750
Pd: 0.375 0.447 0.750
Pd: 0.197 0.625 0.250

Values from the calculation:
volume = 30.2 Å³/atom
electronic total energy = -4.620 eV/atom
crystal system = tetragonal
energy of formation from the pure elements = 326.4 meV per atom
magnetization = 0.0 μB per formula unit
offset from the most stable computed form = 0.0 kJ/mol of atoms